(1)
Density functional theory data (GGA-PBE) for a relaxed Nb2CdN crystal.

Cell and atoms, written as CIF:
```
data_Nb2CdN
_chemical_formula_sum 'Nb8 Cd4 N4'
_symmetry_space_group_name_H-M 'C m c m'
_symmetry_Int_Tables_number 63
_symmetry_space_group_name_Hall '-C 2c 2'
_cell_length_a 3.1779
_cell_length_b 5.5049
_cell_length_c 14.3957
_cell_angle_alpha 90.00
_cell_angle_beta 90.00
_cell_angle_gamma 90.00
loop_
_atom_site_label
_atom_site_type_symbol
_atom_site_fract_x
_atom_site_fract_y
_atom_site_fract_z
_atom_site_occupancy
Nb1 Nb 0.0000 0.1668 0.0800 1
Cd1 Cd 0.0000 0.1659 0.7500 1
N1 N 0.0000 0.5000 0.0000 1
```

(2)
Density functional theory data (GGA-PBE) for a relaxed NbCd2N crystal.

Cell and atoms, written as CIF:
```
data_NbCd2N
_chemical_formula_sum 'Nb2 Cd4 N2'
_symmetry_space_group_name_H-M 'P 63/m m c'
_symmetry_Int_Tables_number 194
_symmetry_space_group_name_Hall '-P 6c 2c'
_cell_length_a 3.1002
_cell_length_b 3.1002
_cell_length_c 15.9104
_cell_angle_alpha 90.00
_cell_angle_beta 90.00
_cell_angle_gamma 120.00
loop_
_atom_site_label
_atom_site_type_symbol
_atom_site_fract_x
_atom_site_fract_y
_atom_site_fract_z
_atom_site_occupancy
Nb1 Nb 0.3333 0.6667 0.2500 1
Cd1 Cd 0.3333 0.6667 0.5937 1
N1 N 0.0000 0.0000 0.0000 1
```

(3)
Density functional theory data (GGA-PBE) for a relaxed Nb2CdN crystal.

Cell and atoms, written as CIF:
```
data_Nb2CdN
_chemical_formula_sum 'Nb4 Cd2 N2'
_symmetry_space_group_name_H-M 'P 63/m m c'
_symmetry_Int_Tables_number 194
_symmetry_space_group_name_Hall '-P 6c 2c'
_cell_length_a 3.1756
_cell_length_b 3.1756
_cell_length_c 14.3995
_cell_angle_alpha 90.00
_cell_angle_beta 90.00
_cell_angle_gamma 120.00
loop_
_atom_site_label
_atom_site_type_symbol
_atom_site_fract_x
_atom_site_fract_y
_atom_site_fract_z
_atom_site_occupancy
Nb1 Nb 0.3333 0.6667 0.0801 1
Cd1 Cd 0.3333 0.6667 0.7500 1
N1 N 0.0000 0.0000 0.0000 1
```

(4)
Density functional theory data (GGA-PBE) for a relaxed Nb4CdNiN2 crystal.

Cell and atoms, written as CIF:
```
data_Nb4CdNiN2
_chemical_formula_sum 'Nb4 Cd1 Ni1 N2'
_symmetry_space_group_name_H-M 'P -6 m 2'
_symmetry_Int_Tables_number 187
_symmetry_space_group_name_Hall 'P -6 2'
_cell_length_a 3.1472
_cell_length_b 3.1472
_cell_length_c 13.5500
_cell_angle_alpha 90.00
_cell_angle_beta 90.00
_cell_angle_gamma 120.00
loop_
_atom_site_label
_atom_site_type_symbol
_atom_site_fract_x
_atom_site_fract_y
_atom_site_fract_z
_atom_site_occupancy
Nb1 Nb 0.0000 0.0000 0.1436 1
Nb2 Nb 0.6667 0.3333 0.3189 1
Cd1 Cd 0.0000 0.0000 0.5000 1
Ni1 Ni 0.6667 0.3333 0.0000 1
N1 N 0.3333 0.6667 0.2326 1
```

(5)
Density functional theory data (GGA-PBE) for a relaxed Nb4CdSbN2 crystal.

Cell and atoms, written as CIF:
```
data_Nb4CdSbN2
_chemical_formula_sum 'Nb4 Cd1 Sb1 N2'
_symmetry_space_group_name_H-M 'P -6 m 2'
_symmetry_Int_Tables_number 187
_symmetry_space_group_name_Hall 'P -6 2'
_cell_length_a 3.2541
_cell_length_b 3.2541
_cell_length_c 13.7829
_cell_angle_alpha 90.00
_cell_angle_beta 90.00
_cell_angle_gamma 120.00
loop_
_atom_site_label
_atom_site_type_symbol
_atom_site_fract_x
_atom_site_fract_y
_atom_site_fract_z
_atom_site_occupancy
Nb1 Nb 0.0000 0.0000 0.1626 1
Nb2 Nb 0.3333 0.6667 0.3252 1
Cd1 Cd 0.0000 0.0000 0.5000 1
Sb1 Sb 0.3333 0.6667 0.0000 1
N1 N 0.6667 0.3333 0.2459 1
```

(6)
Density functional theory data (GGA-PBE) for a relaxed Sc2Nb4Cd3N3 crystal.

Cell and atoms, written as CIF:
```
data_Sc2Nb4Cd3N3
_chemical_formula_sum 'Sc8 Nb16 Cd12 N12'
_symmetry_space_group_name_H-M 'C 1 2/c 1'
_symmetry_Int_Tables_number 15
_symmetry_space_group_name_Hall '-C 2yc'
_cell_length_a 9.7128
_cell_length_b 5.6386
_cell_length_c 14.5367
_cell_angle_alpha 90.00
_cell_angle_beta 102.78
_cell_angle_gamma 90.00
loop_
_atom_site_label
_atom_site_type_symbol
_atom_site_fract_x
_atom_site_fract_y
_atom_site_fract_z
_atom_site_occupancy
Sc1 Sc 0.0497 0.0807 0.4075 1
Nb1 Nb 0.1077 0.4186 0.5730 1
Nb2 Nb 0.2248 0.4163 0.9270 1
Cd1 Cd 0.0000 0.4797 0.2500 1
Cd2 Cd 0.1999 0.1190 0.7498 1
N1 N 0.0781 0.2340 0.0000 1
N2 N 0.2500 0.2500 0.5000 1
```

(7)
Density functional theory data (GGA-PBE) for a relaxed Nb4CdSnN2 crystal.

Cell and atoms, written as CIF:
```
data_Nb4CdSnN2
_chemical_formula_sum 'Nb4 Cd1 Sn1 N2'
_symmetry_space_group_name_H-M 'P -6 m 2'
_symmetry_Int_Tables_number 187
_symmetry_space_group_name_Hall 'P -6 2'
_cell_length_a 3.2221
_cell_length_b 3.2221
_cell_length_c 14.0414
_cell_angle_alpha 90.00
_cell_angle_beta 90.00
_cell_angle_gamma 120.00
loop_
_atom_site_label
_atom_site_type_symbol
_atom_site_fract_x
_atom_site_fract_y
_atom_site_fract_z
_atom_site_occupancy
Nb1 Nb 0.0000 0.0000 0.1662 1
Nb2 Nb 0.3333 0.6667 0.3278 1
Cd1 Cd 0.0000 0.0000 0.5000 1
Sn1 Sn 0.3333 0.6667 0.0000 1
N1 N 0.6667 0.3333 0.2489 1
```

(8)
Density functional theory data (GGA-PBE) for a relaxed Ta4Nb2Cd3N3 crystal.

Cell and atoms, written as CIF:
```
data_Ta4Nb2Cd3N3
_chemical_formula_sum 'Ta16 Nb8 Cd12 N12'
_symmetry_space_group_name_H-M 'C 1 2/c 1'
_symmetry_Int_Tables_number 15
_symmetry_space_group_name_Hall '-C 2yc'
_cell_length_a 9.4428
_cell_length_b 5.4547
_cell_length_c 14.7924
_cell_angle_alpha 90.00
_cell_angle_beta 102.31
_cell_angle_gamma 90.00
loop_
_atom_site_label
_atom_site_type_symbol
_atom_site_fract_x
_atom_site_fract_y
_atom_site_fract_z
_atom_site_occupancy
Ta1 Ta 0.1098 0.0901 0.0804 1
Ta2 Ta 0.2262 0.0796 0.4195 1
Nb1 Nb 0.0526 0.4194 0.9183 1
Cd1 Cd 0.0000 0.0792 0.7500 1
Cd2 Cd 0.1695 0.4144 0.2521 1
N1 N 0.0875 0.2393 0.5000 1
N2 N 0.2500 0.2500 0.0000 1
```

(9)
Density functional theory data (GGA-PBE) for a relaxed Ta2Nb4Cd3N3 crystal.

Cell and atoms, written as CIF:
```
data_Ta2Nb4Cd3N3
_chemical_formula_sum 'Ta8 Nb16 Cd12 N12'
_symmetry_space_group_name_H-M 'C 1 2/c 1'
_symmetry_Int_Tables_number 15
_symmetry_space_group_name_Hall '-C 2yc'
_cell_length_a 9.4882
_cell_length_b 5.4826
_cell_length_c 14.7611
_cell_angle_alpha 90.00
_cell_angle_beta 102.37
_cell_angle_gamma 90.00
loop_
_atom_site_label
_atom_site_type_symbol
_atom_site_fract_x
_atom_site_fract_y
_atom_site_fract_z
_atom_site_occupancy
Ta1 Ta 0.0598 0.0858 0.4202 1
Nb1 Nb 0.1105 0.4226 0.5807 1
Nb2 Nb 0.2202 0.4135 0.9193 1
Cd1 Cd 0.0000 0.4126 0.2500 1
Cd2 Cd 0.1645 0.0827 0.7483 1
N1 N 0.0795 0.2395 0.0000 1
N2 N 0.2500 0.2500 0.5000 1
```

(10)
Density functional theory data (GGA-PBE) for a relaxed Nb4TlCdN2 crystal.

Cell and atoms, written as CIF:
```
data_Nb4TlCdN2
_chemical_formula_sum 'Nb4 Tl1 Cd1 N2'
_symmetry_space_group_name_H-M 'P -6 m 2'
_symmetry_Int_Tables_number 187
_symmetry_space_group_name_Hall 'P -6 2'
_cell_length_a 3.2096
_cell_length_b 3.2096
_cell_length_c 14.3256
_cell_angle_alpha 90.00
_cell_angle_beta 90.00
_cell_angle_gamma 120.00
loop_
_atom_site_label
_atom_site_type_symbol
_atom_site_fract_x
_atom_site_fract_y
_atom_site_fract_z
_atom_site_occupancy
Nb1 Nb 0.0000 0.0000 0.1704 1
Nb2 Nb 0.6667 0.3333 0.3291 1
Tl1 Tl 0.0000 0.0000 0.5000 1
Cd1 Cd 0.6667 0.3333 0.0000 1
N1 N 0.3333 0.6667 0.2482 1
```

(11)
Density functional theory data (GGA-PBE) for a relaxed Nb2Cd3W4N3 crystal.

Cell and atoms, written as CIF:
```
data_Nb2Cd3W4N3
_chemical_formula_sum 'Nb8 Cd12 W16 N12'
_symmetry_space_group_name_H-M 'C 1 2/c 1'
_symmetry_Int_Tables_number 15
_symmetry_space_group_name_Hall '-C 2yc'
_cell_length_a 9.3015
_cell_length_b 5.3876
_cell_length_c 14.5536
_cell_angle_alpha 90.00
_cell_angle_beta 102.03
_cell_angle_gamma 90.00
loop_
_atom_site_label
_atom_site_type_symbol
_atom_site_fract_x
_atom_site_fract_y
_atom_site_fract_z
_atom_site_occupancy
Nb1 Nb 0.0604 0.0844 0.4069 1
Cd1 Cd 0.0000 0.4581 0.2500 1
Cd2 Cd 0.1845 0.1002 0.7461 1
W1 W 0.1098 0.4310 0.5758 1
W2 W 0.2182 0.4083 0.9247 1
N1 N 0.0745 0.2280 0.0010 1
N2 N 0.2500 0.2500 0.5000 1
```

(12)
Density functional theory data (GGA-PBE) for a relaxed Nb4ZnCdN2 crystal.

Cell and atoms, written as CIF:
```
data_Nb4ZnCdN2
_chemical_formula_sum 'Nb4 Zn1 Cd1 N2'
_symmetry_space_group_name_H-M 'P -6 m 2'
_symmetry_Int_Tables_number 187
_symmetry_space_group_name_Hall 'P -6 2'
_cell_length_a 3.1594
_cell_length_b 3.1594
_cell_length_c 13.9501
_cell_angle_alpha 90.00
_cell_angle_beta 90.00
_cell_angle_gamma 120.00
loop_
_atom_site_label
_atom_site_type_symbol
_atom_site_fract_x
_atom_site_fract_y
_atom_site_fract_z
_atom_site_occupancy
Nb1 Nb 0.0000 0.0000 0.1563 1
Nb2 Nb 0.6667 0.3333 0.3238 1
Zn1 Zn 0.6667 0.3333 0.0000 1
Cd1 Cd 0.0000 0.0000 0.5000 1
N1 N 0.3333 0.6667 0.2408 1
```

Computed DFT total energy (Ry/atom) in order:
-0.5762 -0.3174 -0.5762 -0.6191 -0.6050 -0.5481 -0.6059 -0.6161 -0.5964 -0.5860 -0.6063 -0.5812